VASP calculation (PBE+U) on a relaxed Sr4NdMn5O15 crystal.

Its space-group type is No. 12. Its raw total energy is -176.80 eV/f.u. For the volume, the calculation gives 11.687 A^3/atom.

a = 8.6909 Å, b = 8.6909 Å, c = 6.7174 Å
α = 74.91°, β = 74.91°, γ = 36.79°
Fractional positions:
O 0.8866 0.3997 0.4007
O 0.5981 0.5981 0.1044
O 0.5000 0.0000 0.0000
O 0.2020 0.2020 0.6902
O 0.1134 0.6003 0.5993
O 0.7926 0.3035 0.7922
O 0.2074 0.6965 0.2078
O 0.4019 0.4019 0.8956
O 0.7980 0.7980 0.3098
O 0.6965 0.2074 0.2078
O 0.6003 0.1134 0.5993
O 0.0000 0.5000 0.0000
O 0.3997 0.8866 0.4007
O 0.3035 0.7926 0.7922
O 0.0000 0.0000 0.5000
Sr 0.6993 0.6993 0.7008
Sr 0.1001 0.1001 0.1008
Sr 0.3007 0.3007 0.2992
Sr 0.8999 0.8999 0.8992
Mn 0.1007 0.1007 0.5993
Mn 0.2995 0.2995 0.8015
Mn 0.5000 0.5000 0.0000
Mn 0.7005 0.7005 0.1985
Mn 0.8993 0.8993 0.4007
Nd 0.5000 0.5000 0.5000